Entry 1:
# CoSiAs2 PBEsol optimized geometry
data_CoSiAs2
_chemical_formula_sum 'Co1 Si1 As2'
_symmetry_space_group_name_H-M 'P 1'
_symmetry_Int_Tables_number 1
_cell_length_a 3.986
_cell_length_b 3.986
_cell_length_c 5.572
_cell_angle_alpha 105.26
_cell_angle_beta 105.26
_cell_angle_gamma 49.95
loop_
_symmetry_equiv_pos_as_xyz
'x,y,z'
loop_
_atom_site_label
_atom_site_fract_x
_atom_site_fract_y
_atom_site_fract_z
Co1 0.000 0.000 0.000
Si1 0.276 0.276 0.913
As1 0.479 0.479 0.654
As2 0.742 0.742 0.243
# **Formation energy from raw total energies**: -0.04 eV/atom


Entry 2:
# FeCo2Si PBEsol optimized geometry
data_FeCo2Si
_chemical_formula_sum 'Fe1 Co2 Si1'
_symmetry_space_group_name_H-M 'P 1'
_symmetry_Int_Tables_number 1
_cell_length_a 3.852
_cell_length_b 3.852
_cell_length_c 2.872
_cell_angle_alpha 90.00
_cell_angle_beta 90.00
_cell_angle_gamma 90.00
loop_
_symmetry_equiv_pos_as_xyz
'x,y,z'
loop_
_atom_site_label
_atom_site_fract_x
_atom_site_fract_y
_atom_site_fract_z
Fe1 0.000 0.000 0.000
Co1 0.000 0.500 0.500
Co2 0.500 0.000 0.500
Si1 0.500 0.500 0.000
# **Formation energy from raw total energies**: -0.34 eV/atom


Entry 3:
# Y2PbN2 PBEsol optimized geometry
data_Y2PbN2
_chemical_formula_sum 'Y2 Pb1 N2'
_symmetry_space_group_name_H-M 'P 1'
_symmetry_Int_Tables_number 1
_cell_length_a 6.279
_cell_length_b 6.279
_cell_length_c 6.279
_cell_angle_alpha 140.79
_cell_angle_beta 140.79
_cell_angle_gamma 56.65
loop_
_symmetry_equiv_pos_as_xyz
'x,y,z'
loop_
_atom_site_label
_atom_site_fract_x
_atom_site_fract_y
_atom_site_fract_z
Y1 0.178 0.178 0.000
Y2 0.822 0.822 0.000
Pb1 0.500 0.500 0.000
N1 0.250 0.750 0.500
N2 0.750 0.250 0.500
# **Formation energy from raw total energies**: -0.98 eV/atom


Entry 4:
# CaTlPS2 PBEsol optimized geometry
data_CaTlPS2
_chemical_formula_sum 'Ca1 Tl1 P1 S2'
_symmetry_space_group_name_H-M 'P 1'
_symmetry_Int_Tables_number 1
_cell_length_a 5.112
_cell_length_b 5.112
_cell_length_c 4.939
_cell_angle_alpha 90.00
_cell_angle_beta 90.00
_cell_angle_gamma 90.00
loop_
_symmetry_equiv_pos_as_xyz
'x,y,z'
loop_
_atom_site_label
_atom_site_fract_x
_atom_site_fract_y
_atom_site_fract_z
Ca1 0.000 0.000 0.000
Tl1 0.500 0.500 0.500
P1 0.500 0.500 0.000
S1 0.000 0.500 0.500
S2 0.500 0.000 0.500
# **Formation energy from raw total energies**: 0.10 eV/atom


Entry 5:
# NbBiPd2 PBEsol optimized geometry
data_NbBiPd2
_chemical_formula_sum 'Nb2 Bi2 Pd4'
_symmetry_space_group_name_H-M 'P 1'
_symmetry_Int_Tables_number 1
_cell_length_a 5.927
_cell_length_b 5.927
_cell_length_c 5.927
_cell_angle_alpha 103.07
_cell_angle_beta 103.07
_cell_angle_gamma 123.20
loop_
_symmetry_equiv_pos_as_xyz
'x,y,z'
loop_
_atom_site_label
_atom_site_fract_x
_atom_site_fract_y
_atom_site_fract_z
Nb1 0.000 0.000 0.000
Nb2 0.750 0.250 0.500
Bi1 0.250 0.750 0.500
Bi2 0.500 0.500 0.000
Pd1 0.113 0.125 0.488
Pd2 0.375 0.887 0.012
Pd3 0.637 0.625 0.512
Pd4 0.875 0.363 0.988
# **Energy of formation**: 118 meV/atom


Entry 6:
# CaAuCl PBEsol optimized geometry
data_CaAuCl
_chemical_formula_sum 'Ca1 Au1 Cl1'
_symmetry_space_group_name_H-M 'P 1'
_symmetry_Int_Tables_number 1
_cell_length_a 6.350
_cell_length_b 6.350
_cell_length_c 6.350
_cell_angle_alpha 148.76
_cell_angle_beta 148.76
_cell_angle_gamma 44.77
loop_
_symmetry_equiv_pos_as_xyz
'x,y,z'
loop_
_atom_site_label
_atom_site_fract_x
_atom_site_fract_y
_atom_site_fract_z
Ca1 0.000 0.000 0.000
Au1 0.653 0.653 0.000
Cl1 0.373 0.373 0.000
# **Excess energy over the best structure of this formula in the dataset**: 15.4 meV per atom
# **Formation energy from raw total energies**: -1.17 eV/atom


Entry 7:
# LaZnCuP2 PBEsol optimized geometry
data_LaZnCuP2
_chemical_formula_sum 'La1 Zn1 Cu1 P2'
_symmetry_space_group_name_H-M 'P 1'
_symmetry_Int_Tables_number 1
_cell_length_a 4.011
_cell_length_b 4.011
_cell_length_c 6.692
_cell_angle_alpha 90.00
_cell_angle_beta 90.00
_cell_angle_gamma 120.00
loop_
_symmetry_equiv_pos_as_xyz
'x,y,z'
loop_
_atom_site_label
_atom_site_fract_x
_atom_site_fract_y
_atom_site_fract_z
La1 0.000 0.000 0.000
Zn1 0.333 0.667 0.612
Cu1 0.667 0.333 0.348
P1 0.333 0.667 0.256
P2 0.667 0.333 0.717
# **Energy of formation**: -787 meV/atom


Entry 8:
# Ho2HfS5 PBEsol optimized geometry
data_Ho2HfS5
_chemical_formula_sum 'Ho8 Hf4 S20'
_symmetry_space_group_name_H-M 'P 1'
_symmetry_Int_Tables_number 1
_cell_length_a 11.325
_cell_length_b 7.610
_cell_length_c 7.124
_cell_angle_alpha 90.00
_cell_angle_beta 90.00
_cell_angle_gamma 90.00
loop_
_symmetry_equiv_pos_as_xyz
'x,y,z'
loop_
_atom_site_label
_atom_site_fract_x
_atom_site_fract_y
_atom_site_fract_z
Ho1 0.179 0.003 0.024
Ho2 0.179 0.497 0.024
Ho3 0.321 0.503 0.524
Ho4 0.321 0.997 0.524
Ho5 0.679 0.003 0.476
Ho6 0.679 0.497 0.476
Ho7 0.821 0.503 0.976
Ho8 0.821 0.997 0.976
Hf1 0.006 0.750 0.577
Hf2 0.494 0.250 0.077
Hf3 0.506 0.750 0.923
Hf4 0.994 0.250 0.423
S1 0.003 0.750 0.949
S2 0.093 0.039 0.663
S3 0.093 0.461 0.663
S4 0.181 0.750 0.332
S5 0.209 0.250 0.310
S6 0.291 0.750 0.810
S7 0.319 0.250 0.832
S8 0.407 0.539 0.163
S9 0.407 0.961 0.163
S10 0.497 0.250 0.449
S11 0.503 0.750 0.551
S12 0.593 0.039 0.837
S13 0.593 0.461 0.837
S14 0.681 0.750 0.168
S15 0.709 0.250 0.190
S16 0.791 0.750 0.690
S17 0.819 0.250 0.668
S18 0.907 0.539 0.337
S19 0.907 0.961 0.337
S20 0.997 0.250 0.051
# **Formation energy from raw total energies**: -1.96 eV/atom


no.,VASP energy (eV per atom),V (A^3/atom),M_tot (μB/f.u.)
1,-5.966,16.2,0.00
2,-7.889,10.6,5.10
3,-7.916,19.6,0.00
4,-3.768,25.8,0.46
5,-6.638,19.2,0.00
6,-3.857,22.9,0.00
7,-5.356,18.7,0.00
8,-7.249,19.2,0.00